BiRuWSe2 GGA-PBEsol optimized geometry; calculated volume = 22.1 Å³/atom; raw total energy = -6.20 eV per atom; N(E_F) = 6.02 states/eV/f.u.
1.0
-4.098 2.163 -1.254
-1.723 -4.188 -1.592
-1.812 -0.909 4.352
Bi Se Ru W
1 2 1 1
Direct
0.500 0.500 0.500
0.000 0.000 0.500
0.000 0.500 0.000
0.000 0.000 0.000
0.500 0.000 0.000